La2NiHPt after structural relaxation. Source: Alexandria via LeMat-Bulk, functional PBE.

The space group is P4/mmm (No. 123) and the conventional cell measures 5.165, 5.165 and 3.609 Å, with angles of 90.00, 90.00 and 90.00 degrees. The asymmetric unit holds La at (0.000, 0.500, 0.000), Ni at (0.000, 0.000, 0.500), H at (0.000, 0.000, 0.000) and Pt at (0.500, 0.500, 0.500).

Its size of the total moment is 0.0 μB/f.u. The value obtained for the calculated total energy is -28.31 eV per cell. The calculated volume is 96.3 Å³/f.u.

=====

GdDy2Sn after structural relaxation. Source: Alexandria via LeMat-Bulk, functional PBE.

The space group is Fm-3m (No. 225) and the conventional cell measures 7.644, 7.644 and 7.644 Å, with angles of 90.00, 90.00 and 90.00 degrees. The asymmetric unit holds Gd at (0.000, 0.000, 0.000), Dy at (0.250, 0.250, 0.250) and Sn at (0.000, 0.000, 0.500).

Its formation energy is -0.258 eV per atom. The value obtained for the offset from the most stable computed form is 0.175 eV/atom. Its size of the total moment is 8.2 μB/f.u. The calculated volume is 111.7 Å³/f.u.

=====

Fe3BBr after structural relaxation. Source: Alexandria via LeMat-Bulk, functional PBE.

The space group is Pm-3m (No. 221) and the conventional cell measures 4.336, 4.336 and 4.336 Å, with angles of 90.00, 90.00 and 90.00 degrees. The asymmetric unit holds Fe at (0.000, 0.000, 0.500), B at (0.500, 0.500, 0.500) and Br at (0.000, 0.000, 0.000).

Its size of the total moment is 6.2 μB/f.u. The value obtained for the calculated total energy is -24.29 eV per cell. The calculated volume is 81.5 Å³/f.u.

=====

La3Hg2Au6 after structural relaxation. Source: Alexandria via LeMat-Bulk, functional PBE.

The space group is I4/mmm (No. 139) and the conventional cell measures 4.399, 4.399 and 28.307 Å, with angles of 90.00, 90.00 and 90.00 degrees. The asymmetric unit holds La at (0.000, 0.000, 0.000), La at (0.000, 0.000, 0.199), Hg at (0.000, 0.000, 0.449), Au at (0.000, 0.000, 0.312) and Au at (0.000, 0.500, 0.116).

Its formation energy is -0.524 eV per atom. Its size of the total moment is 0.0 μB/f.u. The calculated volume is 273.8 Å³/f.u.

=====

ScAg2IrF after structural relaxation. Source: Alexandria via LeMat-Bulk, functional PBE.

The space group is P4/mmm (No. 123) and the conventional cell measures 5.316, 5.316 and 4.607 Å, with angles of 90.00, 90.00 and 90.00 degrees. The asymmetric unit holds Sc at (0.000, 0.000, 0.000), Ag at (0.000, 0.500, 0.000), Ir at (0.000, 0.000, 0.500) and F at (0.500, 0.500, 0.500).

Its size of the total moment is 0.0 μB/f.u. The value obtained for the calculated total energy is -18.61 eV per cell. The calculated volume is 130.2 Å³/f.u.

=====

Ac3Y4 after structural relaxation. Source: Alexandria via LeMat-Bulk, functional PBE.

The space group is Immm (No. 71) and the conventional cell measures 3.833, 5.072 and 26.790 Å, with angles of 90.00, 90.00 and 90.00 degrees. The asymmetric unit holds Ac at (0.000, 0.000, 0.000), Ac at (0.000, 0.000, 0.144), Y at (0.000, 0.000, 0.282) and Y at (0.000, 0.000, 0.427).

Its formation energy is 0.047 eV per atom. Its size of the total moment is 0.0 μB/f.u. The calculated volume is 260.4 Å³/f.u.

=====

CdAgSe2O6 after structural relaxation. Source: Alexandria via LeMat-Bulk, functional PBE.

The space group is R-3 (No. 148, hexagonal axes) and the conventional cell measures 5.4623, 5.4623 and 17.4008 Å, with angles of 90.00, 90.00 and 120.00 degrees. The asymmetric unit holds Cd at (0.0000, 0.0000, 0.0000), Ag at (0.0000, 0.0000, 0.5000), Se at (0.0000, 0.0000, 0.2184) and O at (0.0067, 0.2963, 0.7439).

Its size of the total moment is 0.0 μB/f.u. The value obtained for the calculated total energy is -140.83 eV per cell. The calculated volume is 149.9 Å³/f.u.

=====

BeTe2Pt after structural relaxation. Source: Alexandria via LeMat-Bulk, functional PBE.

The space group is F-43m (No. 216) and the conventional cell measures 6.875, 6.875 and 6.875 Å, with angles of 90.00, 90.00 and 90.00 degrees. The asymmetric unit holds Be at (0.000, 0.000, 0.000), Te at (0.000, 0.000, 0.500), Te at (0.250, 0.250, 0.250) and Pt at (0.250, 0.250, 0.750).

Its size of the total moment is 0.0 μB/f.u. The value obtained for the calculated total energy is -53.56 eV per cell. The calculated volume is 81.2 Å³/f.u.

=====

LaSnMoP2 after structural relaxation. Source: Alexandria via LeMat-Bulk, functional PBE.

The space group is P4/mmm (No. 123) and the conventional cell measures 5.106, 5.106 and 5.060 Å, with angles of 90.00, 90.00 and 90.00 degrees. The asymmetric unit holds La at (0.000, 0.000, 0.000), Sn at (0.500, 0.500, 0.500), Mo at (0.500, 0.500, 0.000) and P at (0.000, 0.500, 0.500).

Its formation energy is 0.777 eV per atom. Its size of the total moment is 2.8 μB/f.u. The calculated volume is 131.9 Å³/f.u.

=====

La2HoIn4 after structural relaxation. Source: Alexandria via LeMat-Bulk, functional PBE.

The space group is I4/mmm (No. 139) and the conventional cell measures 5.336, 5.336 and 15.203 Å, with angles of 90.00, 90.00 and 90.00 degrees. The asymmetric unit holds La at (0.000, 0.000, 0.248), Ho at (0.000, 0.000, 0.500) and In at (0.000, 0.500, 0.106).

Its formation energy is -0.339 eV per atom. Its size of the total moment is 0.0 μB/f.u. The calculated volume is 216.5 Å³/f.u.